Record 1
Below is a geometry-optimized Re3Ni10 structure, with properties calculated at the PBE-GGA level.

Unit cell a=8.9185 b=8.9185 c=8.9185 alpha=29.77 beta=29.77 gamma=29.77
Fractional coordinates of all 13 atoms:
1 Ni 0.9103 0.9103 0.4153
2 Ni 0.0897 0.0897 0.5847
3 Ni 0.3460 0.3460 0.3460
4 Ni 0.9103 0.4153 0.9103
5 Ni 0.6540 0.6540 0.6540
6 Ni 0.0897 0.5847 0.0897
7 Ni 0.5847 0.0897 0.0897
8 Ni 0.4153 0.9103 0.9103
9 Ni 0.8344 0.8344 0.8344
10 Ni 0.1656 0.1656 0.1656
11 Re 0.0000 0.0000 0.0000
12 Re 0.5452 0.5452 0.5452
13 Re 0.4548 0.4548 0.4548

- magnetic moment (μB per formula unit) = 0.0
- calculated volume (Å³/cell) = 155
- mass density (g/cm³) = 12.284
- offset from the most stable computed form (eV per atom) = 0.000
- total energy (eV per atom) = -7.067
- formation energy (kcal/mol of atoms) = 1.90
- SG = No. 166

=====

Record 2
Below is a geometry-optimized ReNi3 structure, with properties calculated at the PBE-GGA level.

Unit cell a=8.8587 b=8.8587 c=8.8587 alpha=33.35 beta=33.35 gamma=33.35
Fractional coordinates of all 16 atoms:
1 Ni 0.1270 0.6221 0.6221
2 Ni 0.2930 0.7920 0.7920
3 Ni 0.7920 0.7920 0.2930
4 Ni 0.2080 0.2080 0.7070
5 Ni 0.3779 0.3779 0.8730
6 Ni 0.6221 0.1270 0.6221
7 Ni 0.7920 0.2930 0.7920
8 Ni 0.3779 0.8730 0.3779
9 Ni 0.8730 0.3779 0.3779
10 Ni 0.2080 0.7070 0.2080
11 Ni 0.6221 0.6221 0.1270
12 Ni 0.7070 0.2080 0.2080
13 Re 0.8718 0.8718 0.8718
14 Re 0.1282 0.1282 0.1282
15 Re 0.2902 0.2902 0.2902
16 Re 0.7098 0.7098 0.7098

- magnetic moment (μB per formula unit) = 0.8
- calculated volume (Å³/cell) = 187
- mass density (g/cm³) = 12.861
- total energy (eV per atom) = -7.136
- formation energy (kcal/mol of atoms) = 3.37
- SG = No. 166

=====

Record 3
Below is a geometry-optimized Re9Ni4 structure, with properties calculated at the PBE-GGA level.

Unit cell a=9.0572 b=9.0572 c=9.0572 alpha=32.24 beta=32.24 gamma=32.24
Fractional coordinates of all 13 atoms:
1 Ni 0.4550 0.4550 0.4550
2 Ni 0.8357 0.8357 0.8357
3 Ni 0.1643 0.1643 0.1643
4 Ni 0.5450 0.5450 0.5450
5 Re 0.0878 0.5789 0.0878
6 Re 0.4211 0.9122 0.9122
7 Re 0.0878 0.0878 0.5789
8 Re 0.3521 0.3521 0.3521
9 Re 0.9122 0.4211 0.9122
10 Re 0.5789 0.0878 0.0878
11 Re 0.9122 0.9122 0.4211
12 Re 0.6479 0.6479 0.6479
13 Re 0.0000 0.0000 0.0000

- magnetic moment (μB per formula unit) = 0.0
- calculated volume (Å³/cell) = 188
- mass density (g/cm³) = 16.880
- offset from the most stable computed form (eV per atom) = 0.038
- total energy (eV per atom) = -9.991
- formation energy (kcal/mol of atoms) = 7.43
- SG = No. 166

=====

Record 4
Below is a geometry-optimized Re7Ni6 structure, with properties calculated at the PBE-GGA level.

Unit cell a=8.9845 b=8.9845 c=8.9845 alpha=32.53 beta=32.53 gamma=32.53
Fractional coordinates of all 13 atoms:
1 Re 0.0880 0.0880 0.5786
2 Re 0.9120 0.4214 0.9120
3 Re 0.4214 0.9120 0.9120
4 Re 0.0000 0.0000 0.0000
5 Re 0.5786 0.0880 0.0880
6 Re 0.9120 0.9120 0.4214
7 Re 0.0880 0.5786 0.0880
8 Ni 0.5492 0.5492 0.5492
9 Ni 0.6524 0.6524 0.6524
10 Ni 0.8365 0.8365 0.8365
11 Ni 0.4508 0.4508 0.4508
12 Ni 0.3476 0.3476 0.3476
13 Ni 0.1635 0.1635 0.1635

- magnetic moment (μB per formula unit) = 0.1
- calculated volume (Å³/cell) = 187
- mass density (g/cm³) = 14.740
- offset from the most stable computed form (eV per atom) = 0.379
- total energy (eV per atom) = -8.841
- formation energy (kcal/mol of atoms) = 9.63
- SG = No. 166

=====

Record 5
Below is a geometry-optimized Re5Ni7 structure, with properties calculated at the PBE-GGA level.

Unit cell a=4.9682 b=4.9682 c=15.6081 alpha=90.00 beta=90.00 gamma=120.00
Fractional coordinates of all 24 atoms:
1 Ni 0.6667 0.3333 0.3535
2 Ni 0.8456 0.6912 0.7500
3 Ni 0.6912 0.8456 0.2500
4 Ni 0.1544 0.3088 0.2500
5 Ni 0.1544 0.8456 0.2500
6 Ni 0.0000 0.0000 0.9135
7 Ni 0.0000 0.0000 0.5865
8 Ni 0.8456 0.1544 0.7500
9 Ni 0.3333 0.6667 0.8535
10 Ni 0.3333 0.6667 0.6465
11 Ni 0.0000 0.0000 0.0865
12 Ni 0.3088 0.1544 0.7500
13 Ni 0.0000 0.0000 0.4135
14 Ni 0.6667 0.3333 0.1465
15 Re 0.5000 0.0000 0.0000
16 Re 0.5000 0.5000 0.0000
17 Re 0.0000 0.5000 0.5000
18 Re 0.5000 0.0000 0.5000
19 Re 0.3333 0.6667 0.3639
20 Re 0.0000 0.5000 0.0000
21 Re 0.6667 0.3333 0.8639
22 Re 0.6667 0.3333 0.6361
23 Re 0.5000 0.5000 0.5000
24 Re 0.3333 0.6667 0.1361

- magnetic moment (μB per formula unit) = 0.0
- calculated volume (Å³/cell) = 334
- mass density (g/cm³) = 13.357
- offset from the most stable computed form (eV per atom) = 0.143
- total energy (eV per atom) = -7.992
- formation energy (kcal/mol of atoms) = 9.95
- SG = No. 194

=====

Record 6
Below is a geometry-optimized Re2Ni structure, with properties calculated at the PBE-GGA level.

Unit cell a=4.9084 b=4.9084 c=7.9972 alpha=90.00 beta=90.00 gamma=122.36
Fractional coordinates of all 12 atoms:
1 Ni 0.6615 0.8292 0.2500
2 Ni 0.3385 0.1708 0.7500
3 Ni 0.8292 0.6615 0.7500
4 Ni 0.1708 0.3385 0.2500
5 Re 0.0000 0.0000 0.5000
6 Re 0.6625 0.3375 0.4320
7 Re 0.1776 0.8224 0.2500
8 Re 0.6625 0.3375 0.0680
9 Re 0.3375 0.6625 0.5680
10 Re 0.0000 0.0000 0.0000
11 Re 0.8224 0.1776 0.7500
12 Re 0.3375 0.6625 0.9320

- magnetic moment (μB per formula unit) = 0.0
- calculated volume (Å³/cell) = 163
- mass density (g/cm³) = 17.595
- offset from the most stable computed form (eV per atom) = 0.142
- total energy (eV per atom) = -9.991
- formation energy (kcal/mol of atoms) = 3.39
- SG = No. 63

=====

Record 7
Below is a geometry-optimized ReNi2 structure, with properties calculated at the PBE-GGA level.

Unit cell a=4.6098 b=4.6098 c=16.1863 alpha=90.00 beta=90.00 gamma=120.00
Fractional coordinates of all 24 atoms:
1 Ni 0.3333 0.6667 0.8438
2 Ni 0.5000 0.0000 0.5000
3 Ni 0.6667 0.3333 0.3438
4 Ni 0.3333 0.6667 0.6562
5 Ni 0.0000 0.5000 0.0000
6 Ni 0.1634 0.3268 0.2500
7 Ni 0.1634 0.8366 0.2500
8 Ni 0.5000 0.5000 0.0000
9 Ni 0.5000 0.0000 0.0000
10 Ni 0.6667 0.3333 0.1562
11 Ni 0.5000 0.5000 0.5000
12 Ni 0.0000 0.5000 0.5000
13 Ni 0.6732 0.8366 0.2500
14 Ni 0.3268 0.1634 0.7500
15 Ni 0.8366 0.6732 0.7500
16 Ni 0.8366 0.1634 0.7500
17 Re 0.0000 0.0000 0.4130
18 Re 0.0000 0.0000 0.0870
19 Re 0.0000 0.0000 0.5870
20 Re 0.6667 0.3333 0.8720
21 Re 0.3333 0.6667 0.3720
22 Re 0.0000 0.0000 0.9130
23 Re 0.3333 0.6667 0.1280
24 Re 0.6667 0.3333 0.6280

- magnetic moment (μB per formula unit) = 0.0
- calculated volume (Å³/cell) = 298
- mass density (g/cm³) = 13.539
- offset from the most stable computed form (eV per atom) = 0.125
- total energy (eV per atom) = -7.688
- formation energy (kcal/mol of atoms) = 3.80
- SG = No. 194

=====

Record 8
Below is a geometry-optimized Re2Ni structure, with properties calculated at the PBE-GGA level.

Unit cell a=5.1011 b=5.1011 c=8.1785 alpha=90.00 beta=90.00 gamma=120.00
Fractional coordinates of all 12 atoms:
1 Re 0.8263 0.6525 0.2500
2 Re 0.6525 0.8263 0.7500
3 Re 0.0000 0.0000 0.0000
4 Re 0.8263 0.1737 0.2500
5 Re 0.1737 0.3475 0.7500
6 Re 0.3475 0.1737 0.2500
7 Re 0.0000 0.0000 0.5000
8 Re 0.1737 0.8263 0.7500
9 Ni 0.6667 0.3333 0.9081
10 Ni 0.3333 0.6667 0.4081
11 Ni 0.3333 0.6667 0.0919
12 Ni 0.6667 0.3333 0.5919

- magnetic moment (μB per formula unit) = 0.0
- calculated volume (Å³/cell) = 184
- mass density (g/cm³) = 15.537
- offset from the most stable computed form (eV per atom) = 0.548
- total energy (eV per atom) = -9.585
- formation energy (kcal/mol of atoms) = 12.74
- SG = No. 194